This record from the Alexandria database describes crystalline CoPd4Rh at its relaxed geometry. The functional is GGA-PBE.

Cell: 2.747 7.229 9.392 Å, 77.98 81.64 100.93°
Positions (direct):
Co 0.851 0.090 0.388
Co 0.149 0.910 0.612
Pd 0.532 0.932 0.869
Pd 0.863 0.599 0.873
Pd 0.520 0.417 0.376
Pd 0.480 0.583 0.624
Pd 0.801 0.226 0.625
Pd 0.137 0.401 0.127
Pd 0.199 0.774 0.375
Pd 0.468 0.068 0.131
Rh 0.196 0.265 0.874
Rh 0.804 0.735 0.126

Values from the calculation:
Symmetry: P-1, No. 2
Crystal system: triclinic
Formation energy (meV per atom): 77
Size of the total moment (μB/atom): 0.748

---

This record from the Alexandria database describes crystalline Hf2MgTiSe at its relaxed geometry. The functional is GGA-PBE.

Cell: 4.946 4.777 4.946 Å, 90.00 90.00 90.00°
Positions (direct):
Mg 0.000 0.500 0.000
Hf 0.000 0.000 0.500
Hf 0.500 0.000 0.000
Se 0.000 0.000 0.000
Ti 0.500 0.500 0.500

Values from the calculation:
Symmetry: P4/mmm, No. 123
Crystal system: tetragonal
Size of the total moment (μB/atom): 0.000
Formation energy from raw total energies (eV per formula unit): 1.56

---

This record from the Alexandria database describes crystalline Ca2AcSiN4 at its relaxed geometry. The functional is GGA-PBE.

Cell: 3.380 6.171 11.937 Å, 90.00 90.00 105.90°
Positions (direct):
Ca 0.363 0.725 0.543
Ca 0.637 0.275 0.043
Ca 0.637 0.275 0.457
Ca 0.363 0.725 0.957
Ac 0.097 0.194 0.750
Ac 0.903 0.806 0.250
Si 0.820 0.640 0.750
Si 0.180 0.360 0.250
N 0.266 0.533 0.134
N 0.734 0.467 0.634
N 0.734 0.467 0.866
N 0.266 0.533 0.366
N 0.000 0.000 0.500
N 0.000 0.000 0.000
N 0.406 0.812 0.750
N 0.594 0.188 0.250

Values from the calculation:
Symmetry: Cmcm, No. 63
Crystal system: orthorhombic
Size of the total moment (μB/atom): 0.128
Formation energy from raw total energies (eV per formula unit): -6.95

---

This record from the Alexandria database describes crystalline Zr4NbZn5 at its relaxed geometry. The functional is GGA-PBE.

Cell: 3.404 3.404 15.711 Å, 90.00 90.00 90.00°
Positions (direct):
Zr 0.000 0.000 0.189
Zr 0.000 0.000 0.396
Zr 0.000 0.000 0.604
Zr 0.000 0.000 0.811
Nb 0.000 0.000 0.000
Zn 0.500 0.500 0.089
Zn 0.500 0.500 0.292
Zn 0.500 0.500 0.500
Zn 0.500 0.500 0.708
Zn 0.500 0.500 0.911

Values from the calculation:
Symmetry: P4/mmm, No. 123
Crystal system: tetragonal
Formation energy (meV per atom): -201
Size of the total moment (μB/atom): 0.000

---

This record from the Alexandria database describes crystalline ZrAlOs2 at its relaxed geometry. The functional is GGA-PBE.

Cell: 4.716 4.716 4.995 Å, 72.63 72.63 38.25°
Positions (direct):
Os 0.989 0.989 0.037
Os 0.511 0.511 0.463
Al 0.250 0.250 0.250
Zr 0.750 0.750 0.750

Values from the calculation:
Symmetry: C2/m, No. 12
Crystal system: monoclinic
Formation energy (meV per atom): -199
Size of the total moment (μB/atom): 0.000

---

This record from the Alexandria database describes crystalline Pr5DyY2Tm at its relaxed geometry. The functional is GGA-PBE.

Cell: 8.604 8.604 10.473 Å, 114.25 114.25 90.00°
Positions (direct):
Pr 0.928 0.428 0.287
Pr 0.641 0.141 0.713
Pr 0.072 0.572 0.713
Pr 0.141 0.072 0.713
Pr 0.572 0.641 0.713
Pr 0.859 0.928 0.287
Pr 0.428 0.359 0.287
Pr 0.359 0.859 0.287
Pr 0.500 0.500 0.000
Pr 0.000 0.000 0.000
Dy 0.250 0.250 0.500
Dy 0.750 0.750 0.500
Y 0.123 0.377 0.000
Y 0.623 0.123 0.000
Y 0.377 0.877 0.000
Y 0.877 0.623 0.000
Tm 0.250 0.750 0.500
Tm 0.750 0.250 0.500

Values from the calculation:
Symmetry: I4/mcm, No. 140
Crystal system: tetragonal
Formation energy (meV per atom): 315
Size of the total moment (μB/atom): 0.000

---

This record from the Alexandria database describes crystalline Mo2Pt3Rh4 at its relaxed geometry. The functional is GGA-PBE.

Cell: 4.845 7.080 8.581 Å, 72.36 74.18 89.64°
Positions (direct):
Mo 0.618 0.864 0.610
Mo 0.835 0.413 0.166
Mo 0.382 0.136 0.390
Mo 0.165 0.587 0.834
Pt 0.060 0.969 0.720
Pt 0.392 0.306 0.056
Pt 0.940 0.031 0.280
Pt 0.608 0.694 0.944
Pt 0.278 0.361 0.613
Pt 0.722 0.639 0.387
Rh 0.503 0.081 0.832
Rh 0.946 0.199 0.942
Rh 0.497 0.919 0.168
Rh 0.054 0.801 0.058
Rh 0.166 0.749 0.499
Rh 0.275 0.522 0.283
Rh 0.834 0.251 0.501
Rh 0.725 0.478 0.717

Values from the calculation:
Symmetry: P-1, No. 2
Crystal system: triclinic
ΔE to the lowest computed polymorph (eV per atom): 0.026
Formation energy (meV per atom): -189
Size of the total moment (μB/atom): 0.000

---

This record from the Alexandria database describes crystalline Li2ScAgSe at its relaxed geometry. The functional is GGA-PBE.

Cell: 5.357 5.076 5.357 Å, 90.00 90.00 90.00°
Positions (direct):
Sc 0.000 0.000 0.000
Se 0.500 0.500 0.500
Ag 0.000 0.500 0.000
Li 0.000 0.000 0.500
Li 0.500 0.000 0.000

Values from the calculation:
Symmetry: P4/mmm, No. 123
Crystal system: tetragonal
Size of the total moment (μB/atom): 0.350
Formation energy from raw total energies (eV per formula unit): 4.03

---

This record from the Alexandria database describes crystalline AcLa2TaO8 at its relaxed geometry. The functional is GGA-PBE.

Cell: 4.414 5.610 7.393 Å, 89.91 89.91 90.31°
Positions (direct):
Ac 0.000 0.000 0.500
La 0.498 0.499 0.748
La 0.502 0.501 0.252
Ta 0.000 0.000 0.000
O 0.045 0.758 0.199
O 0.565 0.877 0.999
O 0.954 0.241 0.198
O 0.955 0.242 0.801
O 0.435 0.123 0.001
O 0.046 0.759 0.802
O 0.521 0.742 0.500
O 0.479 0.258 0.500

Values from the calculation:
Symmetry: P-1, No. 2
Crystal system: triclinic
Size of the total moment (μB/atom): 0.000
Formation energy from raw total energies (eV per formula unit): -35.05

---

This record from the Alexandria database describes crystalline Pr2NdSe4 at its relaxed geometry. The functional is GGA-PBE.

Cell: 4.122 7.350 14.235 Å, 90.00 90.00 106.28°
Positions (direct):
Pr 0.130 0.260 0.429
Pr 0.870 0.740 0.929
Pr 0.130 0.260 0.071
Pr 0.870 0.740 0.571
Nd 0.626 0.253 0.750
Nd 0.374 0.747 0.250
Se 0.778 0.556 0.124
Se 0.778 0.556 0.376
Se 0.222 0.444 0.876
Se 0.222 0.444 0.624
Se 0.974 0.949 0.750
Se 0.026 0.051 0.250
Se 0.500 0.000 0.000
Se 0.500 0.000 0.500

Values from the calculation:
Symmetry: Cmcm, No. 63
Crystal system: orthorhombic
ΔE to the lowest computed polymorph (eV per atom): 0.000
Size of the total moment (μB/atom): 0.000
Formation energy from raw total energies (eV per formula unit): -12.96

---

This record from the Alexandria database describes crystalline Mg2ScSi at its relaxed geometry. The functional is GGA-PBE.

Cell: 4.597 3.290 5.571 Å, 74.74 90.00 90.00°
Positions (direct):
Mg 0.000 0.890 0.983
Mg 0.000 0.610 0.517
Sc 0.500 0.250 0.250
Si 0.500 0.750 0.750

Values from the calculation:
Symmetry: P2/m, No. 10
Crystal system: monoclinic
Size of the total moment (μB/atom): 0.000
Formation energy from raw total energies (eV per formula unit): -0.37

---

This record from the Alexandria database describes crystalline PmAgTe at its relaxed geometry. The functional is GGA-PBE.

Cell: 4.049 4.049 5.653 Å, 110.98 110.98 90.00°
Positions (direct):
Te 0.280 0.280 0.560
Ag 0.950 0.950 0.901
Pm 0.620 0.620 0.239

Values from the calculation:
Symmetry: I4mm, No. 107
Crystal system: tetragonal
ΔE to the lowest computed polymorph (eV per atom): 0.024
Size of the total moment (μB/atom): 0.000
Formation energy from raw total energies (eV per formula unit): -1.93

---

This record from the Alexandria database describes crystalline ScCuPb2 at its relaxed geometry. The functional is GGA-PBE.

Cell: 5.084 5.084 5.084 Å, 60.00 60.00 60.00°
Positions (direct):
Pb 0.250 0.250 0.250
Pb 0.750 0.750 0.750
Sc 0.000 0.000 0.000
Cu 0.500 0.500 0.500

Values from the calculation:
Symmetry: Fm-3m, No. 225
Crystal system: cubic
ΔE to the lowest computed polymorph (eV per atom): 0.158
Formation energy (meV per atom): 87
Size of the total moment (μB/atom): 0.000

---

This record from the Alexandria database describes crystalline LiLa2Cl at its relaxed geometry. The functional is GGA-PBE.

Cell: 3.689 4.840 6.065 Å, 90.00 90.00 90.00°
Positions (direct):
Cl 0.500 0.500 0.874
La 0.000 0.000 0.876
La 0.500 0.500 0.374
Li 0.000 0.000 0.376

Values from the calculation:
Symmetry: Pmm2, No. 25
Crystal system: orthorhombic
ΔE to the lowest computed polymorph (eV per atom): 0.047
Size of the total moment (μB/atom): 0.000
Formation energy from raw total energies (eV per formula unit): -2.53

---

This record from the Alexandria database describes crystalline TlCu2SbCl8 at its relaxed geometry. The functional is GGA-PBE.

Cell: 7.968 6.170 9.057 Å, 64.89 67.20 79.13°
Positions (direct):
Tl 0.000 0.000 0.500
Cu 0.358 0.468 0.702
Cu 0.642 0.532 0.298
Sb 0.000 0.000 0.000
Cl 0.004 0.665 0.288
Cl 0.700 0.834 0.035
Cl 0.814 0.259 0.168
Cl 0.996 0.335 0.712
Cl 0.300 0.166 0.965
Cl 0.186 0.741 0.832
Cl 0.421 0.767 0.442
Cl 0.579 0.233 0.558

Values from the calculation:
Symmetry: P-1, No. 2
Crystal system: triclinic
Size of the total moment (μB/atom): 0.000
Formation energy from raw total energies (eV per formula unit): -8.14

---

This record from the Alexandria database describes crystalline Ac2Si4IrRh3 at its relaxed geometry. The functional is GGA-PBE.

Cell: 4.256 4.256 10.282 Å, 90.00 90.00 90.00°
Positions (direct):
Ac 0.500 0.000 0.243
Ac 0.000 0.500 0.757
Si 0.500 0.500 0.000
Si 0.000 0.000 0.000
Si 0.500 0.000 0.622
Si 0.000 0.500 0.378
Ir 0.500 0.500 0.500
Rh 0.000 0.000 0.500
Rh 0.500 0.000 0.877
Rh 0.000 0.500 0.123

Values from the calculation:
Symmetry: P-4m2, No. 115
Crystal system: tetragonal
Size of the total moment (μB/atom): 0.000
Formation energy from raw total energies (eV per formula unit): -9.44

---

This record from the Alexandria database describes crystalline CoSb2PdC at its relaxed geometry. The functional is GGA-PBE.

Cell: 5.384 3.708 5.384 Å, 90.00 90.00 90.00°
Positions (direct):
Sb 0.000 0.000 0.500
Sb 0.500 0.000 0.000
C 0.000 0.500 0.000
Co 0.500 0.500 0.500
Pd 0.000 0.000 0.000

Values from the calculation:
Symmetry: P4/mmm, No. 123
Crystal system: tetragonal
Size of the total moment (μB/atom): 0.380
Formation energy from raw total energies (eV per formula unit): 6.02

---

This record from the Alexandria database describes crystalline BeFe2Co at its relaxed geometry. The functional is GGA-PBE.

Cell: 2.802 2.802 5.308 Å, 90.00 90.00 90.00°
Positions (direct):
Be 0.000 0.000 0.507
Co 0.500 0.500 0.728
Fe 0.000 0.000 0.996
Fe 0.500 0.500 0.269

Values from the calculation:
Symmetry: P4mm, No. 99
Crystal system: tetragonal
Formation energy (meV per atom): -84
Size of the total moment (μB/atom): 1.509

---

This record from the Alexandria database describes crystalline LiTaCu2 at its relaxed geometry. The functional is GGA-PBE.

Cell: 9.096 9.096 9.096 Å, 17.45 17.45 17.45°
Positions (direct):
Cu 0.994 0.994 0.994
Cu 0.254 0.254 0.254
Li 0.508 0.508 0.508
Ta 0.745 0.745 0.745

Values from the calculation:
Symmetry: R3m, No. 160
Crystal system: trigonal
Formation energy (meV per atom): 188
Size of the total moment (μB/atom): 0.000

---

This record from the Alexandria database describes crystalline Sm3TlHg at its relaxed geometry. The functional is GGA-PBE.

Cell: 3.769 7.663 11.832 Å, 61.13 80.84 89.99°
Positions (direct):
Sm 0.900 0.414 0.673
Sm 0.908 0.946 0.658
Sm 0.711 0.642 0.052
Sm 0.716 0.146 0.041
Sm 0.519 0.843 0.435
Sm 0.527 0.374 0.419
Tl 0.313 0.554 0.847
Tl 0.113 0.234 0.246
Hg 0.118 0.763 0.237
Hg 0.309 0.026 0.855

Values from the calculation:
Symmetry: C2/m, No. 12
Crystal system: monoclinic
ΔE to the lowest computed polymorph (eV per atom): 0.000
Formation energy (meV per atom): -316
Size of the total moment (μB/atom): 0.265